Below is AlIn2Au8 after structural relaxation, with properties calculated at the PBE level.

a = 4.564 Å, b = 6.744 Å, c = 7.949 Å
α = 115.11°, β = 106.68°, γ = 90.00°
Positions (direct):
1 In 0.823 0.323 0.646
2 In 0.177 0.677 0.354
3 Au 0.365 0.602 0.730
4 Au 0.365 0.129 0.730
5 Au 0.184 0.184 0.368
6 Au 0.635 0.398 0.270
7 Au 0.000 0.760 0.000
8 Au 0.816 0.816 0.632
9 Al 0.500 0.000 0.000
10 Au 0.000 0.240 0.000
11 Au 0.635 0.871 0.270

Results
- Formation energy: -0.165 eV/atom
- Space group: No. 71
- D(E_F): 2.61 states/eV/cell
- Electronic total energy: -3.39 eV/atom